# MgGa2NiSn | the Alexandria database | GGA-PBE | optimized geometry
data_MgGa2NiSn
_space_group_name_H-M_alt 'P 4/m m m'
_space_group_IT_number 123
_space_group_name_Hall '-P 4 2'
_cell_length_a 5.224
_cell_length_b 5.224
_cell_length_c 5.308
_cell_angle_alpha 90.00
_cell_angle_beta 90.00
_cell_angle_gamma 90.00
loop_
_atom_site_label
_atom_site_type_symbol
_atom_site_fract_x
_atom_site_fract_y
_atom_site_fract_z
_atom_site_occupancy
Mg1 Mg 0.000 0.000 0.000 1
Ga1 Ga 0.000 0.500 0.500 1
Ni1 Ni 0.500 0.500 0.000 1
Sn1 Sn 0.000 0.000 0.500 1
# - E_form: 0.9756 eV per atom
# - Theoretical density: 3.910 g cm⁻³
# - Total magnetic moment: 0.00 μB per atom